Entry 1:
# Ce3CoNi2Ge6 (PBE-GGA, relaxed)
data_Ce3CoNi2Ge6
_cell_length_a 6.0123
_cell_length_b 6.0123
_cell_length_c 7.4276
_cell_angle_alpha 90.00
_cell_angle_beta 90.00
_cell_angle_gamma 120.00
_symmetry_space_group_name_H-M 'P -3 m 1'
_symmetry_Int_Tables_number 164
_symmetry_space_group_name_Hall '-P 3 2"'
loop_
_atom_site_label
_atom_site_type_symbol
_atom_site_fract_x
_atom_site_fract_y
_atom_site_fract_z
Ce1 Ce 0.0000 0.0000 0.0000
Ce2 Ce 0.3333 0.6667 0.6806
Co1 Co 0.0000 0.0000 0.5000
Ni1 Ni 0.3333 0.6667 0.0470
Ge1 Ge 0.1862 0.3725 0.3084
# - calculated volume (Å³ per cell) = 233
# - ΔE_f (eV/atom) = -0.30
# - E_tot (eV per atom) = -5.653

Entry 2:
# Ce2CoNi3Ge4 (PBE-GGA, relaxed)
data_Ce2CoNi3Ge4
_cell_length_a 4.130
_cell_length_b 4.130
_cell_length_c 9.663
_cell_angle_alpha 90.00
_cell_angle_beta 90.00
_cell_angle_gamma 90.00
_symmetry_space_group_name_H-M 'P -4 m 2'
_symmetry_Int_Tables_number 115
_symmetry_space_group_name_Hall 'P -4 -2'
loop_
_atom_site_label
_atom_site_type_symbol
_atom_site_fract_x
_atom_site_fract_y
_atom_site_fract_z
Ce1 Ce 0.000 0.500 0.245
Co1 Co 0.500 0.500 0.000
Ni1 Ni 0.000 0.000 0.000
Ni2 Ni 0.000 0.500 0.626
Ge1 Ge 0.000 0.000 0.500
Ge2 Ge 0.000 0.500 0.871
Ge3 Ge 0.500 0.500 0.500
# - calculated volume (Å³ per cell) = 165
# - ΔE_f (eV/atom) = -0.66
# - E_tot (eV per atom) = -6.144

Entry 3:
# CeCo2NiGe2 (PBE-GGA, relaxed)
data_CeCo2NiGe2
_cell_length_a 4.501
_cell_length_b 4.501
_cell_length_c 5.012
_cell_angle_alpha 90.00
_cell_angle_beta 90.00
_cell_angle_gamma 90.00
_symmetry_space_group_name_H-M 'P 4/m m m'
_symmetry_Int_Tables_number 123
_symmetry_space_group_name_Hall '-P 4 2'
loop_
_atom_site_label
_atom_site_type_symbol
_atom_site_fract_x
_atom_site_fract_y
_atom_site_fract_z
Ce1 Ce 0.000 0.000 0.000
Co1 Co 0.500 0.500 0.240
Ni1 Ni 0.000 0.000 0.500
Ge1 Ge 0.000 0.500 0.500
# - calculated volume (Å³ per cell) = 102
# - ΔE_f (eV/atom) = 0.00
# - E_tot (eV per atom) = -5.863